(1)
Na3Dy2HoS6 after structural relaxation, computed with PBE.

Cell lengths 6.891, 6.891, 7.065 Å; angles 99.35, 99.35, 120.00 degrees
Sites, in units of the cell vectors:
Na: 0.167 0.833 0.500
Na: 0.833 0.167 0.500
Na: 0.500 0.500 0.500
Dy: 0.333 0.667 0.000
Dy: 0.667 0.333 0.000
Ho: 0.000 0.000 0.000
S: 0.925 0.592 0.774
S: 0.743 0.743 0.226
S: 0.075 0.408 0.226
S: 0.592 0.925 0.774
S: 0.257 0.257 0.774
S: 0.408 0.075 0.226

**Size of the total moment**: 0.0 μB/f.u.
**SG**: C2/m (12)
**N(E_F)**: 0.000 states/eV/atom
**V**: 22.900 Å³ per atom
**E_form (uncorrected)**: -1.851 eV per atom

***

(2)
Rb2TlBi4Au3 after structural relaxation, computed with PBE.

Cell lengths 5.176, 5.176, 11.918 Å; angles 90.00, 90.00, 90.00 degrees
Sites, in units of the cell vectors:
Rb: 0.500 0.000 0.253
Rb: 0.000 0.500 0.747
Tl: 0.500 0.500 0.500
Bi: 0.500 0.500 0.000
Bi: 0.000 0.000 0.000
Bi: 0.500 0.000 0.639
Bi: 0.000 0.500 0.361
Au: 0.000 0.000 0.500
Au: 0.500 0.000 0.879
Au: 0.000 0.500 0.121

**Size of the total moment**: 0.0 μB/f.u.
**SG**: P-4m2 (115)
**N(E_F)**: 0.502 states/eV/atom
**V**: 31.933 Å³ per atom
**Calculated formation energy**: -0.196 eV per atom

***

(3)
LaNpAl after structural relaxation, computed with PBE.

Cell lengths 3.575, 5.536, 7.896 Å; angles 94.05, 103.08, 90.00 degrees
Site moments in Bohr magnetons follow the coordinates.
Sites, in units of the cell vectors:
Np: 0.759 0.145 0.518  1.34
Np: 0.241 0.855 0.482  1.34
Al: 0.580 0.857 0.160  -0.01
Al: 0.420 0.143 0.840  -0.01
La: 0.911 0.659 0.823  0.01
La: 0.089 0.341 0.177  0.01

**Size of the total moment**: 1.4 μB/f.u.
**SG**: C2/m (12)
**N(E_F)**: 1.761 states/eV/atom
**V**: 25.306 Å³ per atom
**Calculated formation energy**: -0.027 eV per atom

***

(4)
FeCu2Mo after structural relaxation, computed with PBE.

Cell lengths 3.010, 3.010, 5.692 Å; angles 90.00, 90.00, 90.00 degrees
Site moments in Bohr magnetons follow the coordinates.
Sites, in units of the cell vectors:
Cu: 0.000 0.000 0.024  0.06
Cu: 0.500 0.500 0.246  0.05
Fe: 0.000 0.000 0.497  1.91
Mo: 0.500 0.500 0.734  -0.13

**Size of the total moment**: 1.9 μB/f.u.
**SG**: P4mm (99)
**Relative energy among the computed polymorphs**: 0.0679 eV per atom
**N(E_F)**: 0.758 states/eV/atom
**V**: 12.896 Å³ per atom
**Calculated formation energy**: 0.222 eV per atom

***

(5)
RbGa3Co after structural relaxation, computed with PBE.

Cell lengths 4.751, 4.751, 4.751 Å; angles 90.00, 90.00, 90.00 degrees
Sites, in units of the cell vectors:
Co: 0.000 0.000 0.000
Ga: 0.000 0.500 0.000
Ga: 0.000 0.000 0.500
Ga: 0.500 0.000 0.000
Rb: 0.500 0.500 0.500

**Size of the total moment**: 0.0 μB/f.u.
**SG**: Pm-3m (221)
**Relative energy among the computed polymorphs**: 0.0000 eV per atom
**N(E_F)**: 1.041 states/eV/atom
**V**: 21.442 Å³ per atom
**Calculated formation energy**: -0.090 eV per atom

***

(6)
Tm5PbAu2 after structural relaxation, computed with PBE.

Cell lengths 7.986, 7.986, 8.636 Å; angles 117.54, 117.54, 90.00 degrees
Sites, in units of the cell vectors:
Tm: 0.514 0.702 0.716
Tm: 0.798 0.986 0.284
Tm: 0.000 0.000 0.000
Tm: 0.500 0.500 0.000
Tm: 0.202 0.014 0.716
Tm: 0.702 0.202 0.716
Tm: 0.014 0.514 0.716
Tm: 0.298 0.798 0.284
Tm: 0.986 0.486 0.284
Tm: 0.486 0.298 0.284
Pb: 0.750 0.750 0.500
Pb: 0.250 0.250 0.500
Au: 0.137 0.363 0.000
Au: 0.637 0.137 0.000
Au: 0.363 0.863 0.000
Au: 0.863 0.637 0.000

**Size of the total moment**: 0.0 μB/f.u.
**SG**: I4/mcm (140)
**N(E_F)**: 1.183 states/eV/atom
**V**: 26.044 Å³ per atom
**Calculated formation energy**: -0.622 eV per atom

***

(7)
La2Al5Ni4 after structural relaxation, computed with PBE.

Cell lengths 5.403, 5.463, 8.065 Å; angles 80.47, 70.43, 60.36 degrees
Sites, in units of the cell vectors:
La: 0.864 0.000 0.271
La: 0.136 0.000 0.729
Al: 0.500 0.000 0.000
Al: 0.000 0.500 0.000
Al: 0.500 0.500 0.000
Al: 0.250 0.500 0.500
Al: 0.750 0.500 0.500
Ni: 0.476 0.309 0.739
Ni: 0.524 0.691 0.261
Ni: 0.215 0.309 0.261
Ni: 0.785 0.691 0.739

**Size of the total moment**: 0.0 μB/f.u.
**SG**: Fmmm (69)
**N(E_F)**: 0.569 states/eV/atom
**V**: 17.721 Å³ per atom
**Calculated formation energy**: -0.542 eV per atom

***

(8)
TlIn2Re after structural relaxation, computed with PBE.

Cell lengths 4.972, 4.972, 4.972 Å; angles 60.00, 60.00, 60.00 degrees
Sites, in units of the cell vectors:
In: 0.000 0.000 0.000
In: 0.250 0.250 0.250
Re: 0.500 0.500 0.500
Tl: 0.750 0.750 0.750

**Size of the total moment**: 0.0 μB/f.u.
**SG**: F-43m (216)
**Relative energy among the computed polymorphs**: 0.5150 eV per atom
**N(E_F)**: 1.193 states/eV/atom
**V**: 21.725 Å³ per atom
**Calculated formation energy**: 0.968 eV per atom

***

(9)
P2OsW after structural relaxation, computed with PBE.

Cell lengths 2.936, 2.936, 7.679 Å; angles 90.00, 90.00, 118.60 degrees
Sites, in units of the cell vectors:
P: 0.000 0.000 0.246
P: 0.000 0.000 0.754
Os: 0.500 0.500 0.000
W: 0.500 0.500 0.500

**Size of the total moment**: 0.0 μB/f.u.
**SG**: Cmmm (65)
**Relative energy among the computed polymorphs**: 0.6280 eV per atom
**N(E_F)**: 0.658 states/eV/atom
**V**: 14.530 Å³ per atom
**Calculated formation energy**: 0.463 eV per atom

***

(10)
CsGeBi3 after structural relaxation, computed with PBE.

Cell lengths 6.218, 6.218, 6.218 Å; angles 90.00, 90.00, 90.00 degrees
Sites, in units of the cell vectors:
Cs: 0.000 0.000 0.000
Ge: 0.500 0.500 0.500
Bi: 0.000 0.500 0.000
Bi: 0.000 0.000 0.500
Bi: 0.500 0.000 0.000

**Size of the total moment**: 0.0 μB/f.u.
**SG**: Pm-3m (221)
**Relative energy among the computed polymorphs**: 1.3911 eV per atom
**N(E_F)**: 0.856 states/eV/atom
**V**: 48.084 Å³ per atom
**Calculated formation energy**: 1.606 eV per atom

***

(11)
Hf6Co2Au after structural relaxation, computed with PBE.

Cell lengths 7.686, 7.686, 7.686 Å; angles 101.43, 112.50, 114.77 degrees
Sites, in units of the cell vectors:
Hf: 0.509 0.698 0.811
Hf: 0.491 0.302 0.189
Hf: 0.113 0.302 0.811
Hf: 0.887 0.698 0.189
Hf: 0.800 0.766 0.566
Hf: 0.200 0.234 0.434
Hf: 0.200 0.766 0.966
Hf: 0.800 0.234 0.034
Hf: 0.693 0.363 0.670
Hf: 0.307 0.637 0.330
Hf: 0.307 0.977 0.670
Hf: 0.693 0.023 0.330
Co: 0.500 0.371 0.871
Co: 0.500 0.629 0.129
Co: 0.659 0.000 0.659
Co: 0.341 0.000 0.341
Au: 0.000 0.500 0.500
Au: 0.000 0.000 0.000

**Size of the total moment**: 0.0 μB/f.u.
**SG**: Immm (71)
**N(E_F)**: 0.849 states/eV/atom
**V**: 19.129 Å³ per atom
**Calculated formation energy**: -0.317 eV per atom

***

(12)
In2Si3 after structural relaxation, computed with PBE.

Cell lengths 3.883, 3.883, 8.431 Å; angles 90.00, 90.00, 120.00 degrees
Sites, in units of the cell vectors:
In: 0.667 0.333 0.189
In: 0.333 0.667 0.811
Si: 0.000 0.000 0.000
Si: 0.667 0.333 0.555
Si: 0.333 0.667 0.445

**Size of the total moment**: 0.0 μB/f.u.
**SG**: P-3m1 (164)
**Relative energy among the computed polymorphs**: 0.0111 eV per atom
**N(E_F)**: 0.450 states/eV/atom
**V**: 22.021 Å³ per atom
**E_form (uncorrected)**: 0.343 eV per atom